The following is a GGA+U calculation of a relaxed Mn2InSnO6 crystal, from the Alexandria database.

Computed properties:
The value obtained for the spin magnetization is 9.00 μB per cell. The total energy comes out at -67.39 eV per cell.

The structure in CIF format:
```
data_Mn2InSnO6
_cell_length_a 5.342
_cell_length_b 5.384
_cell_length_c 5.718
_cell_angle_alpha 62.10
_cell_angle_beta 89.62
_cell_angle_gamma 61.36
_symmetry_space_group_name_H-M 'P 1'
_symmetry_Int_Tables_number 1
loop_
_symmetry_equiv_pos_as_xyz
'x,y,z'
loop_
_atom_site_label
_atom_site_type_symbol
_atom_site_fract_x
_atom_site_fract_y
_atom_site_fract_z
Mn1 Mn 0.000 0.000 0.000
Mn2 Mn 0.488 0.022 0.462
In1 In 0.209 0.580 0.625
Sn1 Sn 0.697 0.600 0.093
O1 O 0.081 0.120 0.268
O2 O 0.286 0.087 0.806
O3 O 0.416 0.497 0.303
O4 O 0.608 0.509 0.794
O5 O 0.806 0.804 0.277
O6 O 0.899 0.820 0.805
```